Record 1
The following is a DFT calculation (PBE) of a relaxed TbTlPd crystal.

abc: 7.6560 7.6560 3.9712
angles: 90.00 90.00 120.00
Atoms (fractional coordinates):
Pd 0.6667 0.3333 0.0000
Pd 0.3333 0.6667 0.0000
Pd 0.0000 0.0000 0.5000
Tb 0.5923 0.0000 0.5000
Tb 0.4077 0.4077 0.5000
Tb 0.0000 0.5923 0.5000
Tl 0.2618 0.0000 0.0000
Tl 0.0000 0.2618 0.0000
Tl 0.7382 0.7382 0.0000

Summary:
Energy above the most stable polymorph in this dataset (kJ/mol of atoms): 0.0
Space group: No. 189

=====

Record 2
The following is a DFT calculation (PBE) of a relaxed TbTlPd crystal.

abc: 5.0806 5.0806 6.1438
angles: 90.00 90.00 120.00
Atoms (fractional coordinates):
Pd 0.0000 0.0000 0.0000
Pd 0.0000 0.0000 0.5000
Tb 0.6667 0.3333 0.2500
Tb 0.3333 0.6667 0.7500
Tl 0.3333 0.6667 0.2500
Tl 0.6667 0.3333 0.7500

Summary:
Energy above the most stable polymorph in this dataset (kJ/mol of atoms): 30.7
Space group: No. 194

=====

Record 3
The following is a DFT calculation (PBE) of a relaxed Tb2Tl8Pd crystal.

abc: 4.8321 4.8321 12.4814
angles: 90.00 90.00 90.00
Atoms (fractional coordinates):
Pd 0.0000 0.0000 0.0000
Tb 0.0000 0.0000 0.3096
Tb 0.0000 0.0000 0.6904
Tl 0.5000 0.0000 0.1281
Tl 0.0000 0.5000 0.1281
Tl 0.5000 0.5000 0.3148
Tl 0.5000 0.0000 0.5000
Tl 0.0000 0.5000 0.5000
Tl 0.5000 0.5000 0.6852
Tl 0.5000 0.0000 0.8719
Tl 0.0000 0.5000 0.8719

Summary:
Calculated total energy (eV per atom): -3.2361
Space group: No. 123

=====

Record 4
The following is a DFT calculation (PBE) of a relaxed TbTlPd crystal.

abc: 4.7992 4.7992 6.7787
angles: 90.00 90.00 120.00
Atoms (fractional coordinates):
Pd 0.3333 0.6667 0.0069
Pd 0.6667 0.3333 0.5069
Tb 0.0000 0.0000 0.2482
Tb 0.0000 0.0000 0.7482
Tl 0.3333 0.6667 0.4950
Tl 0.6667 0.3333 0.9950

Summary:
Energy above the most stable polymorph in this dataset (kJ/mol of atoms): 6.9
Space group: No. 186

=====

What total magnetization values result from the calculations? In sequence: 0.004 0.001 0.001 0.000 μB/atom.